Record 1
10
Lattice="7.256 0.000 0.000 0.000 7.256 0.000 0.000 0.000 3.070" Properties=species:S:1:pos:R:3 comment="ZnMo2As2 | the Alexandria database | PBE-GGA | relaxed" total_magnetization_mub_per_fu=0.00 mass_density_g_cm3=8.4 delta_e_f_ev_per_atom=0.1420 sg="P4/mbm (127)" pbc="T T T"
As 4.677 1.049 0.000
As 1.049 2.579 0.000
As 6.207 4.677 0.000
As 2.579 6.207 0.000
Mo 2.529 1.099 1.535
Mo 4.727 6.157 1.535
Mo 1.099 4.727 1.535
Mo 6.157 2.529 1.535
Zn 0.000 0.000 0.000
Zn 3.628 3.628 0.000

---

Record 2
4
Lattice="-3.628 1.358 2.134 -2.436 -2.883 -2.306 0.509 -2.285 2.319" Properties=species:S:1:pos:R:3 comment="ZnMoAs2 | the Alexandria database | PBE-GGA | relaxed" total_magnetization_mub_per_fu=0.00 mass_density_g_cm3=8.0 delta_e_f_ev_per_atom=0.2522 sg="P4/mmm (123)" pbc="T T T"
As -3.032 -0.762 -0.086
As 0.000 0.000 0.000
Zn -0.963 -2.584 0.007
Mo -1.559 -0.463 2.227

---

Record 3
8
Lattice="5.769 0.000 0.000 0.000 5.769 0.000 2.884 2.884 5.711" Properties=species:S:1:pos:R:3 comment="ZnMoAs2 | the Alexandria database | PBE-GGA | relaxed" total_magnetization_mub_per_fu=1.74 mass_density_g_cm3=5.4 delta_e_f_ev_per_atom=0.2505 sg="I-42d (122)" pbc="T T T"
As 7.211 7.257 4.283
As 4.373 1.442 1.428
As 1.396 4.327 1.428
As 4.327 4.281 4.283
Zn 2.884 5.769 2.855
Zn 2.884 2.884 0.000
Mo 0.000 0.000 0.000
Mo 5.769 2.884 2.855

---

Record 4
4
Lattice="4.459 0.056 -0.005 -0.778 4.391 -0.005 0.005 0.007 3.295" Properties=species:S:1:pos:R:3 comment="ZnMoAs2 | the Alexandria database | PBE-GGA | relaxed" total_magnetization_mub_per_fu=0.00 mass_density_g_cm3=8.0 delta_e_f_ev_per_atom=0.2437 sg="Cmmm (65)" pbc="T T T"
Zn -0.386 2.199 1.645
Mo 2.232 0.031 1.645
As 0.000 0.000 0.000
As 1.840 2.223 -0.005

---

Record 5
4
Lattice="2.857 -0.013 0.000 -0.863 2.724 0.000 0.000 0.000 9.601" Properties=species:S:1:pos:R:3 comment="ZnMoAs2 | the Alexandria database | PBE-GGA | relaxed" total_magnetization_mub_per_fu=0.00 mass_density_g_cm3=6.9 delta_e_f_ev_per_atom=0.1987 sg="Cmm2 (35)" pbc="T T T"
Zn 0.997 1.355 7.040
As 0.000 0.000 9.075
As 0.997 1.355 2.980
Mo 0.000 0.000 4.908

---

Record 6
5
Lattice="4.318 0.000 0.000 0.000 4.318 0.000 2.159 2.159 5.126" Properties=species:S:1:pos:R:3 comment="ZnMo2As2 | the Alexandria database | PBE-GGA | relaxed" total_magnetization_mub_per_fu=0.00 mass_density_g_cm3=7.1 delta_e_f_ev_per_atom=0.3909 sg="I4/mmm (139)" pbc="T T T"
Mo 4.318 4.318 3.937
Mo 2.159 2.159 1.189
As 4.318 2.159 2.563
As 2.159 4.318 2.563
Zn 0.000 0.000 0.000

---

Record 7
10
Lattice="-5.924 2.321 3.004 -3.757 -2.787 -5.256 -0.255 -2.822 1.678" Properties=species:S:1:pos:R:3 comment="ZnMo2As2 | the Alexandria database | PBE-GGA | relaxed" total_magnetization_mub_per_fu=0.00 mass_density_g_cm3=8.3 delta_e_f_ev_per_atom=-0.0059 sg="P4/mbm (127)" pbc="T T T"
As -6.476 -0.414 1.554
As -2.764 -1.018 1.100
As -3.461 -2.875 -2.127
As -7.172 -2.270 -1.674
Mo -7.490 0.190 -0.817
Mo -2.192 -0.655 -1.435
Mo -5.321 -1.559 -3.429
Mo -4.361 1.093 1.177
Zn 0.000 0.000 0.000
Zn -4.841 -0.233 -1.126

---

Record 8
5
Lattice="-2.266 3.856 1.799 -3.492 -0.378 -3.588 -2.620 -2.871 2.852" Properties=species:S:1:pos:R:3 comment="ZrZnMo2As | the Alexandria database | PBE-GGA | relaxed" total_magnetization_mub_per_fu=0.00 mass_density_g_cm3=6.0 delta_e_f_ev_per_atom=1.7681 sg="P4/mmm (123)" pbc="T T T"
As -4.189 0.304 0.532
Mo -1.133 1.928 0.900
Mo -1.310 -1.435 1.426
Zr 0.000 0.000 0.000
Zn -1.746 -0.189 -1.794

---

Record 9
6
Lattice="0.000 3.752 3.752 3.752 0.000 3.752 3.752 3.752 0.000" Properties=species:S:1:pos:R:3 comment="ZrMo4As | the Alexandria database | PBE-GGA | relaxed" total_magnetization_mub_per_fu=0.00 mass_density_g_cm3=8.6 delta_e_f_ev_per_atom=0.1927 sg="F-43m (216)" pbc="T T T"
Zr 5.627 5.627 5.627
Mo 4.694 4.694 2.809
Mo 4.694 2.809 4.694
Mo 2.809 4.694 4.694
Mo 2.809 2.809 2.809
As 0.000 0.000 0.000

---

Record 10
10
Lattice="6.937 0.000 0.000 0.000 6.937 0.000 0.000 0.000 3.776" Properties=species:S:1:pos:R:3 comment="Zr2MoAs2 | the Alexandria database | PBE-GGA | relaxed" total_magnetization_mub_per_fu=0.00 mass_density_g_cm3=7.8 delta_e_f_ev_per_atom=-0.7197 sg="P4/mbm (127)" pbc="T T T"
Zr 4.574 5.832 1.888
Zr 2.363 1.106 1.888
Zr 1.106 4.574 1.888
Zr 5.832 2.363 1.888
As 1.019 2.450 0.000
As 2.450 5.919 0.000
As 4.487 1.019 0.000
As 5.919 4.487 0.000
Mo 0.000 0.000 0.000
Mo 3.469 3.469 0.000

---

Record 11
10
Lattice="7.300 0.000 0.000 0.000 7.300 0.000 0.000 0.000 3.170" Properties=species:S:1:pos:R:3 comment="ZrMo2As2 | the Alexandria database | PBE-GGA | relaxed" total_magnetization_mub_per_fu=0.00 mass_density_g_cm3=8.5 delta_e_f_ev_per_atom=-0.2258 sg="P4/mbm (127)" pbc="T T T"
As 1.105 2.545 0.000
As 2.545 6.195 0.000
As 4.756 1.105 0.000
As 6.195 4.756 0.000
Mo 4.672 6.278 1.585
Mo 6.278 2.628 1.585
Mo 1.022 4.672 1.585
Mo 2.628 1.022 1.585
Zr 0.000 0.000 0.000
Zr 3.650 3.650 0.000

---

Record 12
5
Lattice="4.827 0.000 0.000 0.000 4.827 0.000 0.000 0.000 4.827" Properties=species:S:1:pos:R:3 comment="ZrMo3As | the Alexandria database | PBE-GGA | relaxed" total_magnetization_mub_per_fu=0.00 mass_density_g_cm3=6.7 delta_e_f_ev_per_atom=2.0999 sg="Pm-3m (221)" pbc="T T T"
Mo 0.000 2.413 0.000
Mo 0.000 0.000 2.413
Mo 2.413 0.000 0.000
As 2.413 2.413 2.413
Zr 0.000 0.000 0.000